Entry 1:
The following is a DFT calculation (GGA-PBE) of a relaxed structure of NaAl2RhPb.

The electronic total energy is -2.7380 eV per atom. For the magnetic moment, the calculation gives 1.27 μB per formula unit.

It has space group P4/mmm (No. 123), with a = 5.270 Å, b = 5.270 Å, c = 5.398 Å, α = 90.00°, β = 90.00° and γ = 90.00°. Symmetry generates all atoms from Na at (0.000, 0.000, 0.000), Al at (0.000, 0.500, 0.500), Rh at (0.500, 0.500, 0.000) and Pb at (0.000, 0.000, 0.500).



Entry 2:
The following is a DFT calculation (GGA-PBE) of a relaxed structure of Ge3BrCl12.

The electronic total energy is -3.1389 eV per atom. Its formation energy from raw total energies is -0.784 eV per atom. For the magnetic moment, the calculation gives 1.00 μB per formula unit.

It has space group R3c (No. 161, hexagonal axes), with a = 12.5090 Å, b = 12.5090 Å, c = 34.1708 Å, α = 90.00°, β = 90.00° and γ = 120.00°. Symmetry generates all atoms from Ge at (0.0207, 0.3470, 0.0000), Br at (0.0000, 0.0000, 0.2156), Cl at (0.0257, 0.4157, 0.0576), Cl at (0.0397, 0.4973, 0.3189), Cl at (0.0660, 0.5297, 0.1645) and Cl at (0.0777, 0.2495, 0.2922).



Entry 3:
The following is a DFT calculation (GGA-PBE) of a relaxed structure of Hg2B2PdO6.

The electronic total energy is -5.4615 eV per atom. Its formation energy from raw total energies is -1.016 eV per atom. For the magnetic moment, the calculation gives 0.00 μB per formula unit.

It has space group R-3m (No. 166, hexagonal axes), with a = 5.1401 Å, b = 5.1401 Å, c = 17.6382 Å, α = 90.00°, β = 90.00° and γ = 120.00°. Symmetry generates all atoms from Hg at (0.0000, 0.0000, 0.2133), B at (0.0000, 0.0000, 0.4088), Pd at (0.0000, 0.0000, 0.0000) and O at (0.0222, 0.5111, 0.2528).



Entry 4:
The following is a DFT calculation (GGA-PBE) of a relaxed structure of Pm4Pr5.

Its excess energy over the best structure of this formula in the dataset is 89 meV/atom. The electronic total energy is -4.6647 eV per atom. For the magnetic moment, the calculation gives 0.00 μB per formula unit.

It has space group I4/mmm (No. 139), with a = 13.005 Å, b = 13.005 Å, c = 3.752 Å, α = 90.00°, β = 90.00° and γ = 90.00°. Symmetry generates all atoms from Pm at (0.000, 0.336, 0.000), Pr at (0.000, 0.000, 0.000) and Pr at (0.167, 0.167, 0.500).